1.
PBE with a Hubbard U Ru2WIF, optimized geometry; symmetry = P4/mmm; total moment = 0.889 μB/f.u.; energy relative to the lowest polymorph listed for this composition = 0.000 eV per atom
1.0
4.194 0.000 0.000
0.000 5.363 0.000
0.000 0.000 4.194
Ru I F W
2 1 1 1
direct
0.500 0.000 0.000 Ru
0.000 0.000 0.500 Ru
0.000 0.500 0.000 I
0.000 0.000 0.000 F
0.500 0.500 0.500 W

***

2.
PBE with a Hubbard U Ru2WIF, optimized geometry; symmetry = P4/mmm; total moment = 2.302 μB/f.u.; energy relative to the lowest polymorph listed for this composition = 0.366 eV per atom
1.0
-4.695 0.955 0.842
-1.301 -5.135 -1.431
0.538 -1.424 4.620
Ru W F I
2 1 1 1
direct
0.000 0.000 0.500 Ru
0.500 0.000 0.000 Ru
0.000 0.000 0.000 W
0.500 0.500 0.500 F
0.000 0.500 0.000 I

***

Question: total moment of number 1 (Ru2WIF)?
Answer: 0.889 μB/f.u.

***

Question: Which of these has the highest energy relative to the lowest polymorph listed for this composition?
Answer: number 2